The following is a DFT calculation (PBE) of an optimized crystal structure of PrScAgRh.

a = 4.972 Å, b = 4.972 Å, c = 4.972 Å
α = 60.00°, β = 60.00°, γ = 60.00°
Element x y z (fractional)
Pr  0.000  0.000  0.000
Sc  0.500  0.500  0.500
Rh  0.250  0.250  0.250
Ag  0.750  0.750  0.750

- E_tot: -5.756 eV/atom
- M_tot: 0.00 μB per atom